Entry 1:
The following is a DFT calculation (PBE-GGA) of a relaxed AcGeP2 crystal.

The structure in POSCAR format:
```
AcGeP2
1.0
-0.0462 3.5794 1.2976
-1.8892 1.1051 -3.1157
-5.2752 -1.0878 2.8127
P Ac Ge
2 1 1
Direct
0.0000 0.0000 0.8045 P
0.0000 0.0000 0.1955 P
0.5000 0.5000 0.5000 Ac
0.5000 0.5000 0.0000 Ge
```

Formation energy, eV per atom: -0.33
Polymorph energy (0 for the lowest one), eV/atom: 0.178
VASP energy, eV/cell: -20.9
M_tot, μB per formula unit: 0.00
SG: P4/mmm (123)
Theoretical density, g cm⁻³: 6.816

Entry 2:
The following is a DFT calculation (PBE-GGA) of a relaxed MnCoTc2 crystal.

The structure in POSCAR format:
```
MnCoTc2
1.0
-5.0539 0.9909 -2.8099
3.4331 -2.1681 -2.0304
-1.5416 -2.0792 -0.3918
Co Mn Tc
1 1 2
Direct
0.0000 0.5000 0.5000 Co
0.5000 0.5000 0.0000 Mn
0.0000 0.0000 0.0000 Tc
0.5000 0.0000 0.5000 Tc
```

Formation energy, eV per atom: 0.06
Polymorph energy (0 for the lowest one), eV/atom: 0.061
VASP energy, eV/cell: -36.8
M_tot, μB per formula unit: 0.91
SG: Cmmm (65)
Theoretical density, g cm⁻³: 10.104

Entry 3:
The following is a DFT calculation (PBE-GGA) of a relaxed Ba3Na12Pb5 crystal.

The structure in POSCAR format:
```
Ba3Na12Pb5
1.0
-12.4278 -10.7245 1.4052
10.2798 -5.0287 -11.8524
8.1270 0.8932 14.3037
Ba Pb Na
12 20 48
Direct
0.7500 0.3750 0.1250 Ba
0.8750 0.7500 0.1250 Ba
0.3750 0.7500 0.6250 Ba
0.2500 0.1250 0.3750 Ba
0.8750 0.1250 0.2500 Ba
0.3750 0.6250 0.2500 Ba
0.6250 0.3750 0.7500 Ba
0.1250 0.8750 0.7500 Ba
0.7500 0.8750 0.6250 Ba
0.6250 0.2500 0.3750 Ba
0.1250 0.2500 0.8750 Ba
0.2500 0.6250 0.8750 Ba
0.1250 0.3750 0.2500 Pb
0.0000 0.5000 0.0000 Pb
0.0000 0.0000 0.0000 Pb
0.3750 0.2500 0.1250 Pb
0.5000 0.0000 0.5000 Pb
0.5000 0.5000 0.0000 Pb
0.1250 0.7500 0.3750 Pb
0.7500 0.1250 0.8750 Pb
0.7500 0.6250 0.3750 Pb
0.3750 0.1250 0.7500 Pb
0.6250 0.8750 0.2500 Pb
0.5000 0.5000 0.5000 Pb
0.5000 0.0000 0.0000 Pb
0.0000 0.0000 0.5000 Pb
0.2500 0.3750 0.6250 Pb
0.2500 0.8750 0.1250 Pb
0.0000 0.5000 0.5000 Pb
0.8750 0.2500 0.6250 Pb
0.6250 0.7500 0.8750 Pb
0.8750 0.6250 0.7500 Pb
0.6015 0.9429 0.8805 Na
0.2790 0.3805 0.4376 Na
0.1195 0.5571 0.3985 Na
0.3805 0.1015 0.9429 Na
0.6586 0.6015 0.7210 Na
0.1195 0.5624 0.2210 Na
0.2790 0.8985 0.3414 Na
0.0624 0.8414 0.9429 Na
0.5624 0.1195 0.7210 Na
0.6015 0.6586 0.2210 Na
0.8985 0.6195 0.5571 Na
0.7790 0.9376 0.8805 Na
0.9429 0.6015 0.3805 Na
0.5571 0.4376 0.1586 Na
0.1586 0.9376 0.5571 Na
0.3414 0.9429 0.5624 Na
0.1586 0.2210 0.1015 Na
0.6195 0.7210 0.0624 Na
0.7790 0.8414 0.3985 Na
0.9429 0.3414 0.0624 Na
0.5571 0.1195 0.8985 Na
0.5624 0.4429 0.3414 Na
0.9376 0.7790 0.3805 Na
0.8985 0.2790 0.8414 Na
0.4376 0.5571 0.6586 Na
0.0624 0.2210 0.6195 Na
0.1015 0.7210 0.1586 Na
0.2210 0.1586 0.6015 Na
0.4429 0.8805 0.1015 Na
0.0571 0.6586 0.9376 Na
0.3805 0.2790 0.9376 Na
0.6586 0.0571 0.4376 Na
0.8414 0.7790 0.8985 Na
0.8414 0.0624 0.4429 Na
0.0571 0.3985 0.6195 Na
0.2210 0.0624 0.1195 Na
0.4429 0.5624 0.8414 Na
0.4376 0.8805 0.2790 Na
0.3985 0.3414 0.7790 Na
0.1015 0.3805 0.4429 Na
0.9376 0.1586 0.0571 Na
0.7210 0.1015 0.6586 Na
0.6195 0.8985 0.0571 Na
0.8805 0.4376 0.7790 Na
0.3414 0.3985 0.2790 Na
0.8805 0.4429 0.6015 Na
0.7210 0.6195 0.5624 Na
0.3985 0.0571 0.1195 Na
```

Formation energy, eV per atom: 0.14
VASP energy, eV/cell: -149.1
M_tot, μB per formula unit: 0.00
SG: Ia-3d (230)
Theoretical density, g cm⁻³: 3.326

Entry 4:
The following is a DFT calculation (PBE-GGA) of a relaxed Zn2AsW2 crystal.

The structure in POSCAR format:
```
Zn2AsW2
1.0
3.3683 0.0000 0.0000
0.0000 3.3683 0.0000
1.6842 1.6842 7.1118
As Zn W
1 2 2
Direct
0.0000 0.0000 0.0000 As
0.7500 0.2500 0.5000 Zn
0.2500 0.7500 0.5000 Zn
0.4098 0.4098 0.1804 W
0.5902 0.5902 0.8196 W
```

Formation energy, eV per atom: 0.55
Polymorph energy (0 for the lowest one), eV/atom: 0.200
VASP energy, eV/cell: -30.4
M_tot, μB per formula unit: 0.00
SG: I4/mmm (139)
Theoretical density, g cm⁻³: 11.801

Entry 5:
The following is a DFT calculation (PBE-GGA) of a relaxed EuHoMgIr crystal.

The structure in POSCAR format:
```
EuHoMgIr
1.0
5.0797 0.0000 0.0000
2.5399 4.3992 0.0000
2.5399 1.4664 4.1476
Eu Mg Ir Ho
1 1 1 1
Direct
0.7500 0.7500 0.7500 Eu
0.5000 0.5000 0.5000 Mg
0.0000 0.0000 0.0000 Ir
0.2500 0.2500 0.2500 Ho
```

Formation energy, eV per atom: -0.28
VASP energy, eV/cell: -26.4
M_tot, μB per formula unit: 6.82
SG: F-43m (216)
Theoretical density, g cm⁻³: 9.557

Entry 6:
The following is a DFT calculation (PBE-GGA) of a relaxed Nb2GaB2Ru5 crystal.

The structure in POSCAR format:
```
Nb2GaB2Ru5
1.0
-2.3063 -1.4132 1.2968
5.9722 -5.3241 4.8191
0.0313 6.2871 6.9071
Nb Ga B Ru
4 2 4 10
Direct
0.0000 0.6766 0.1766 Nb
0.0000 0.3234 0.8234 Nb
0.0000 0.1766 0.3234 Nb
0.0000 0.8234 0.6766 Nb
0.0000 0.0000 0.0000 Ga
0.0000 0.5000 0.5000 Ga
0.0000 0.1249 0.6249 B
0.0000 0.8751 0.3751 B
0.0000 0.6249 0.8751 B
0.0000 0.3751 0.1249 B
0.5000 0.2157 0.0691 Ru
0.5000 0.7843 0.9309 Ru
0.5000 0.0691 0.7843 Ru
0.5000 0.7157 0.4309 Ru
0.5000 0.9309 0.2157 Ru
0.5000 0.2843 0.5691 Ru
0.5000 0.5691 0.7157 Ru
0.5000 0.4309 0.2843 Ru
0.5000 0.5000 0.0000 Ru
0.5000 0.0000 0.5000 Ru
```

Formation energy, eV per atom: -0.50
VASP energy, eV/cell: -175.9
M_tot, μB per formula unit: 0.00
SG: P4/mbm (127)
Theoretical density, g cm⁻³: 9.931

Number 1: D(E_F) 1.7 states/eV per cell. Number 2: D(E_F) 3.7 states/eV per cell. Number 3: D(E_F) 57.7 states/eV per cell. Number 4: D(E_F) 3.9 states/eV per cell. Number 5: D(E_F) 4.5 states/eV per cell. Number 6: D(E_F) 10.5 states/eV per cell.